1.
A plane-wave DFT calculation with GGA-PBE was carried out for a relaxed Ag8Hg crystal.

Electronic total energy in eV per cell: -88.688

Cell: 9.126 4.049 28.714 Å, 90.00 90.32 90.00°
Space group C2/m (No. 12)
Inequivalent atoms, fractional coordinates:
Ag 0.049 0.000 0.214 x4
Ag 0.050 0.000 0.884 x4
Ag 0.050 0.500 0.049 x4
Ag 0.149 0.500 0.148 x4
Ag 0.150 0.000 0.983 x4
Ag 0.154 0.500 0.820 x4
Ag 0.248 0.500 0.248 x4
Ag 0.250 0.000 0.081 x4
Hg 0.050 0.500 0.715 x4


2.
A plane-wave DFT calculation with GGA-PBE was carried out for a relaxed Ho5Ag4Hg crystal.

Electronic total energy in eV per cell: -38.183
M_tot in Bohr magnetons per cell: 0.0

Cell: 3.620 3.620 18.191 Å, 90.00 90.00 90.00°
Space group P4/mmm (No. 123)
Inequivalent atoms, fractional coordinates:
Ho 0.000 0.000 0.000 x1
Ho 0.000 0.000 0.199 x2
Ho 0.000 0.000 0.397 x2
Ag 0.500 0.500 0.099 x2
Ag 0.500 0.500 0.298 x2
Hg 0.500 0.500 0.500 x1


3.
A plane-wave DFT calculation with GGA-PBE was carried out for a relaxed Ho3Mg3AgHgIr crystal.

Electronic total energy in eV per cell: -34.806
M_tot in Bohr magnetons per cell: 0.0

Cell: 7.7708 7.7708 3.9309 Å, 90.00 90.00 120.00°
Space group P-6 (No. 174)
Inequivalent atoms, fractional coordinates:
Ho 0.0352 0.4317 0.0000 x3
Mg 0.9998 0.7464 0.5000 x3
Ag 0.0000 0.0000 0.0000 x1
Hg 0.6667 0.3333 0.5000 x1
Ir 0.3333 0.6667 0.5000 x1